[1]
This record from Alexandria via LeMat-Bulk describes LiBeHS2 after structural relaxation. The functional is PBE.

abc: 4.1824 4.1824 3.3329
angles: 90.00 90.00 90.00
Last column: nearest neighbours and their distance in Å.
Space group P4/mmm (No. 123)
Unique sites:
1 Li 0.0000 0.0000 0.0000 x1  2 H 1.67
2 Be 0.5000 0.5000 0.0000 x1  8 S 2.67, 4 Li 2.96
3 H 0.0000 0.0000 0.5000 x1  2 Li 1.67
4 S 0.0000 0.5000 0.5000 x2  2 H 2.09

Its energy is -3.171 eV per atom.

---

[2]
This record from Alexandria via LeMat-Bulk describes CdSi after structural relaxation. The functional is PBE.

abc: 2.8783 3.5609 7.7536
angles: 90.00 90.00 90.00
Last column: nearest neighbours and their distance in Å.
Space group Pmmn (No. 59, origin choice 2)
Unique sites:
1 Cd 0.2500 0.2500 0.1487 x2  2 Cd 2.88, 4 Si 3.14
2 Si 0.2500 0.2500 0.5738 x2  4 Si 2.56

Its energy is -2.839 eV per atom. As for the formation energy (no corrections): 7.61 kcal/mol of atoms.

---

[3]
This record from Alexandria via LeMat-Bulk describes MgPH after structural relaxation. The functional is PBE.

abc: 2.7805 2.7805 5.1721
angles: 90.00 90.00 90.00
Last column: nearest neighbours and their distance in Å.
Space group P4/mmm (No. 123)
Unique sites:
1 Mg 0.0000 0.0000 0.0000 x1  4 H 1.97
2 P 0.0000 0.0000 0.5000 x1  2 Mg 2.59, 4 P 2.78
3 H 0.5000 0.5000 0.0000 x1  4 Mg 1.97

Its energy is -3.426 eV per atom. For the distance to the lowest polymorph of the same formula, the calculation gives 0.395 eV per atom.

---

[4]
This record from Alexandria via LeMat-Bulk describes CePuGaRu after structural relaxation. The functional is PBE.

abc: 7.0048 7.0048 7.0048
angles: 90.00 90.00 90.00
Last column: nearest neighbours and their distance in Å.
Space group F-43m (No. 216)
Unique sites:
1 Ce 0.0000 0.0000 0.0000 x4  4 Ru 3.03, 4 Ga 3.03
2 Pu 0.0000 0.0000 0.5000 x4  4 Ga 3.03, 4 Ru 3.03
3 Ga 0.2500 0.2500 0.7500 x4  4 Ce 3.03, 4 Pu 3.03
4 Ru 0.2500 0.2500 0.2500 x4  4 Pu 3.03, 4 Ce 3.03

The formation energy comes out at -5.3 kcal/mol of atoms. Its energy is -8.373 eV per atom.

---

[5]
This record from Alexandria via LeMat-Bulk describes LiMn2Br after structural relaxation. The functional is PBE.

abc: 3.2924 3.3502 13.3161
angles: 90.00 90.00 90.00
Last column: nearest neighbours and their distance in Å.
Space group Amm2 (No. 38)
Unique sites:
1 Li 0.0000 0.0000 0.0000 x2  4 Br 2.58
2 Mn 0.0000 0.0000 0.7619 x2  4 Mn 2.74, 2 Br 2.93
3 Mn 0.5000 0.0000 0.3679 x2  4 Mn 2.74, 1 Br 2.82, 4 Li 2.93
4 Br 0.5000 0.0000 0.5797 x2  4 Li 2.58, 1 Mn 2.82

Its energy is -5.426 eV per atom. As for the formation energy (no corrections): 1.28 kcal/mol of atoms. For the distance to the lowest polymorph of the same formula, the calculation gives 0.000 eV per atom.

---

[6]
This record from Alexandria via LeMat-Bulk describes TcPtS2Cl after structural relaxation. The functional is PBE.

abc: 4.5410 4.5410 4.8431
angles: 90.00 90.00 90.00
Last column: nearest neighbours and their distance in Å.
Space group P4/mmm (No. 123)
Unique sites:
1 Tc 0.0000 0.0000 0.0000 x1  4 S 2.27, 2 Cl 2.42
2 Pt 0.5000 0.5000 0.5000 x1  4 Cl 3.21, 8 S 3.32
3 S 0.0000 0.5000 0.0000 x2  2 Tc 2.27
4 Cl 0.0000 0.0000 0.5000 x1  2 Tc 2.42

Its energy is -4.627 eV per atom. As for the formation energy (no corrections): 15.56 kcal/mol of atoms. For the distance to the lowest polymorph of the same formula, the calculation gives 0.000 eV per atom.

---

[7]
This record from Alexandria via LeMat-Bulk describes Na4TlIn after structural relaxation. The functional is PBE.

abc: 22.2635 5.8889 5.5938
angles: 90.00 104.32 90.00
Last column: nearest neighbours and their distance in Å.
Space group C2/c (No. 15)
Unique sites:
1 Na 0.0779 0.1894 0.3278 x8  4 In 3.23-3.56, 6 Na 3.36-3.58
2 Na 0.1689 0.2817 0.9192 x8  4 Tl 3.27-3.59, 4 Na 3.40-3.52
3 Tl 0.2500 0.2500 0.5000 x4  8 Na 3.27-3.59
4 In 0.0000 0.3429 0.7500 x4  8 Na 3.23-3.56, 2 In 3.35

The formation energy comes out at -1.6 kcal/mol of atoms. Its energy is -1.798 eV per atom. For the distance to the lowest polymorph of the same formula, the calculation gives 0.013 eV per atom.

---

[8]
This record from Alexandria via LeMat-Bulk describes NaMo2H8 after structural relaxation. The functional is PBE.

abc: 5.3811 8.6966 3.6776
angles: 90.00 90.00 90.00
Last column: nearest neighbours and their distance in Å.
Space group Cmmm (No. 65)
Unique sites:
1 Na 0.0000 0.0000 0.0000 x2  10 H 2.37-2.50
2 Mo 0.0000 0.3186 0.5000 x4  8 H 1.82-1.86
3 H 0.0000 0.2880 0.0000 x4  2 Mo 1.86, 2 H 2.05
4 H 0.0000 0.5000 0.2463 x4  2 H 1.81-1.87, 2 Mo 1.83
5 H 0.1709 0.1346 0.5000 x8  2 Mo 1.82-1.85, 1 H 1.84

Its energy is -4.436 eV per atom.